1.
Here is a crystal of RbS2BrCl relaxed with PBEsol from Alexandria via LeMat-Bulk. Energies are from SCAN.

Results
- Formation energy without anion corrections: -0.3 eV per formula unit
- Space group: No. 123
- Total DFT energy (no corrections): -67.7 eV per cell

a = 4.792 Å, b = 4.792 Å, c = 6.018 Å
α = 90.00°, β = 90.00°, γ = 90.00°
Sites, in units of the cell vectors:
Rb 0.000 0.000 0.000
S 0.000 0.500 0.500
S 0.500 0.000 0.500
Br 0.500 0.500 0.500
Cl 0.500 0.500 0.000

2.
Here is a crystal of CoNi3Cl relaxed with PBEsol from Alexandria via LeMat-Bulk. Energies are from SCAN.

Results
- Formation energy without anion corrections: 3.6 eV per formula unit
- Space group: No. 221
- Polymorph energy (0 for the lowest one): 0 meV/atom
- Total DFT energy (no corrections): -70.2 eV per cell

a = 4.022 Å, b = 4.022 Å, c = 4.022 Å
α = 90.00°, β = 90.00°, γ = 90.00°
Sites, in units of the cell vectors:
Co 0.000 0.000 0.000
Ni 0.000 0.500 0.500
Ni 0.500 0.000 0.500
Ni 0.500 0.500 0.000
Cl 0.500 0.500 0.500

3.
Here is a crystal of CaMnReOs2 relaxed with PBEsol from Alexandria via LeMat-Bulk. Energies are from SCAN.

Results
- Space group: No. 123
- ΔH_f (0 K): 1.000 eV/atom
- Total DFT energy (no corrections): -237.8 eV per cell

a = 4.729 Å, b = 4.729 Å, c = 4.611 Å
α = 90.00°, β = 90.00°, γ = 90.00°
Sites, in units of the cell vectors:
Ca 0.000 0.000 0.000
Mn 0.500 0.500 0.000
Re 0.500 0.500 0.500
Os 0.000 0.500 0.500
Os 0.500 0.000 0.500